## w
This record from Alexandria describes a relaxed ZrSi2Sb2 crystal. The functional is GGA-PBE.

The structure belongs to space group I4/mmm (No. 139); the cell edges are 3.516, 3.516 and 17.705 Å and the angles 90.00°, 90.00° and 90.00°. The asymmetric unit holds Zr at (0.000, 0.000, 0.000), Si at (0.000, 0.500, 0.250) and Sb at (0.000, 0.000, 0.400).

***

## x
This record from Alexandria describes a relaxed ZrSi2Sb2 crystal. The functional is GGA-PBE.

The structure belongs to space group P4/mbm (No. 127); the cell edges are 7.670, 7.670 and 3.787 Å and the angles 90.00°, 90.00° and 90.00°. The asymmetric unit holds Zr at (0.000, 0.000, 0.000), Si at (0.188, 0.312, 0.500) and Sb at (0.139, 0.639, 0.000).

***

The data favor w; the next most stable structure lies 17.1 kJ/mol of atoms above it.

***

## w
This record from Alexandria describes a relaxed SmSb3 crystal. The functional is GGA-PBE.

The structure belongs to space group Imm2 (No. 44); the cell edges are 4.057, 10.231 and 5.412 Å and the angles 90.00°, 90.00° and 90.00°. The asymmetric unit holds Sm at (0.000, 0.000, 0.000), Sb at (0.000, 0.262, 0.665) and Sb at (0.000, 0.500, 0.019).

***

## x
This record from Alexandria describes a relaxed SmSb3 crystal. The functional is GGA-PBE.

The structure belongs to space group I4/mmm (No. 139); the cell edges are 4.514, 4.514 and 10.895 Å and the angles 90.00°, 90.00° and 90.00°. The asymmetric unit holds Sm at (0.000, 0.000, 0.000), Sb at (0.000, 0.000, 0.500) and Sb at (0.000, 0.500, 0.250).

***

The data favor x; the next most stable structure lies 2.3 kJ/mol of atoms above it.